Material: Pr6Ho8Zr
Method: DFT, PBE-GGA
State: optimized geometry

It has space group R-3 (No. 148, hexagonal axes), with a = 9.0932 Å, b = 9.0932 Å, c = 20.7059 Å, α = 90.00°, β = 90.00° and γ = 120.00°. Symmetry generates all atoms from Pr at (0.0648, 0.8122, 0.2107), Ho at (0.0000, 0.0000, 0.0768), Ho at (0.0832, 0.5207, 0.3041) and Zr at (0.0000, 0.0000, 0.5000).

As for the energy of formation from the pure elements: 0.129 eV/atom. The crystal system is trigonal. The value obtained for the volume is 1482.7 Å³/cell. As for the total magnetization: 0.00 μB per formula unit.